Density functional theory data (meta-GGA SCAN) for LaTaMn at its PBEsol-relaxed geometry.

Energy above the lowest structure with this stoichiometry (eV/atom): 0.000

Cell lengths 4.182, 4.264, 4.264 Å; angles 120.00, 90.00, 90.00 degrees
Site moments in Bohr magnetons follow the coordinates.
Positions (direct):
1 La 0.000 0.000 0.000  -0.10
2 Mn 0.499 0.333 0.667  3.02
3 Ta 0.500 0.667 0.333  -0.66

---

Density functional theory data (meta-GGA SCAN) for LaMn3Tc at its PBEsol-relaxed geometry.

Cell lengths 4.595, 4.595, 4.595 Å; angles 90.00, 90.00, 90.00 degrees
Site moments in Bohr magnetons follow the coordinates.
Positions (direct):
1 Mn 0.000 0.500 0.000  3.56
2 Mn 0.000 0.000 0.500  3.56
3 Mn 0.500 0.000 0.000  3.56
4 Tc 0.000 0.000 0.000  -0.64
5 La 0.500 0.500 0.500  -0.16

---

Density functional theory data (meta-GGA SCAN) for La2MnTc at its PBEsol-relaxed geometry.

Cell lengths 4.352, 4.352, 5.453 Å; angles 113.52, 113.52, 90.00 degrees
Site moments in Bohr magnetons follow the coordinates.
Positions (direct):
1 La 0.000 0.000 0.000  0.15
2 La 0.750 0.250 0.500  0.12
3 Mn 0.500 0.500 0.000  -3.95
4 Tc 0.250 0.750 0.500  -0.75

---

| no. | total magnetic moment (μB/atom) | DFT total energy (eV/atom) | N(E_F) (states/eV per cell) |
| --- | --- | --- | --- |
| 1 | 0.7116 | -42.2015 | 2.9 |
| 2 | 2.0044 | -26.2291 | 4.7 |
| 3 | 1.1128 | -34.5599 | 4.0 |